1.
The following is a PBE-GGA calculation of an optimized crystal structure of LuPuSnHg, from the Alexandria database.

a b c (Å): 5.2759 5.2759 5.2759
angles (deg): 60.00 60.00 60.00
Atoms (fractional coordinates):
Hg: 0.2500 0.2500 0.2500
Sn: 0.7500 0.7500 0.7500
Lu: 0.5000 0.5000 0.5000
Pu: 0.0000 0.0000 0.0000

Calculated values
Fermi-level density of states, states/eV/f.u.: 10.0
Calculated formation energy, eV/atom: -0.36



2.
The following is a PBE-GGA calculation of an optimized crystal structure of RbBaMg6, from the Alexandria database.

a b c (Å): 8.2410 8.2410 5.1284
angles (deg): 90.00 90.00 129.74
Atoms (fractional coordinates):
Mg: 0.6534 0.3466 0.0000
Mg: 0.8096 0.6515 0.5000
Mg: 0.2460 0.3258 0.0000
Rb: 0.8444 0.1556 0.5000
Mg: 0.3485 0.1904 0.5000
Mg: 0.1206 0.8794 0.0000
Mg: 0.6742 0.7540 0.0000
Ba: 0.3032 0.6968 0.5000

Calculated values
Fermi-level density of states, states/eV/f.u.: 6.2
Energy relative to the lowest polymorph listed for this composition, eV per atom: 0.042
Calculated formation energy, eV/atom: 0.18



3.
The following is a PBE-GGA calculation of an optimized crystal structure of Ag2IrAu, from the Alexandria database.

a b c (Å): 5.0220 5.0220 5.1011
angles (deg): 81.20 81.20 32.26
Atoms (fractional coordinates):
Ir: 0.7512 0.7512 0.7423
Au: 0.4946 0.4946 0.5126
Ag: 0.2495 0.2495 0.2439
Ag: 0.0046 0.0046 0.0012

Calculated values
Fermi-level density of states, states/eV/f.u.: 3.2
Energy relative to the lowest polymorph listed for this composition, eV per atom: 0.094
Calculated formation energy, eV/atom: 0.31



4.
The following is a PBE-GGA calculation of an optimized crystal structure of Ti5Fe4Hg, from the Alexandria database.

a b c (Å): 2.9281 2.9281 16.5131
angles (deg): 90.00 90.00 90.00
Atoms (fractional coordinates):
Fe: 0.0000 0.0000 0.5897
Ti: 0.5000 0.5000 0.8620
Ti: 0.5000 0.5000 0.6804
Hg: 0.0000 0.0000 0.0000
Fe: 0.0000 0.0000 0.4103
Fe: 0.0000 0.0000 0.2293
Ti: 0.5000 0.5000 0.1380
Ti: 0.5000 0.5000 0.5000
Ti: 0.5000 0.5000 0.3196
Fe: 0.0000 0.0000 0.7707

Calculated values
Fermi-level density of states, states/eV/f.u.: 8.6
Calculated formation energy, eV/atom: -0.30



5.
The following is a PBE-GGA calculation of an optimized crystal structure of UCuBiS6, from the Alexandria database.

a b c (Å): 6.1856 6.2852 6.2852
angles (deg): 120.00 90.00 90.00
Atoms (fractional coordinates):
U: 0.5000 0.6667 0.3333
S: 0.2597 0.9760 0.6790
Cu: 0.5000 0.0000 0.0000
S: 0.7403 0.9760 0.2970
S: 0.7403 0.3210 0.0240
S: 0.7403 0.7030 0.6790
S: 0.2597 0.3210 0.2970
S: 0.2597 0.7030 0.0240
Bi: 0.0000 0.3333 0.6667

Calculated values
Raw formation energy, eV per atom: -0.4431
Fermi-level density of states, states/eV/f.u.: 5.9



6.
The following is a PBE-GGA calculation of an optimized crystal structure of Tb4Pr5Sc, from the Alexandria database.

a b c (Å): 3.6445 3.6445 25.0389
angles (deg): 90.00 90.00 90.00
Atoms (fractional coordinates):
Pr: 0.5000 0.5000 0.9080
Sc: 0.0000 0.0000 0.0000
Tb: 0.0000 0.0000 0.8065
Pr: 0.5000 0.5000 0.7043
Tb: 0.0000 0.0000 0.6021
Pr: 0.5000 0.5000 0.5000
Tb: 0.0000 0.0000 0.1935
Pr: 0.5000 0.5000 0.0920
Tb: 0.0000 0.0000 0.3979
Pr: 0.5000 0.5000 0.2957

Calculated values
Fermi-level density of states, states/eV/f.u.: 13.8
Energy relative to the lowest polymorph listed for this composition, eV per atom: 0.000
Calculated formation energy, eV/atom: 0.02



7.
The following is a PBE-GGA calculation of an optimized crystal structure of Pr3Nd2HoEr6, from the Alexandria database.

a b c (Å): 6.2299 6.2299 11.7883
angles (deg): 95.04 95.04 119.99
Atoms (fractional coordinates):
Nd: 0.3336 0.6664 0.0000
Nd: 0.6664 0.3336 0.0000
Er: 0.4160 0.0832 0.2481
Ho: 0.0000 0.0000 0.0000
Er: 0.5840 0.9168 0.7519
Er: 0.9168 0.5840 0.7519
Pr: 0.5000 0.5000 0.5000
Er: 0.7505 0.7505 0.2483
Pr: 0.1669 0.8331 0.5000
Er: 0.2495 0.2495 0.7517
Er: 0.0832 0.4160 0.2481
Pr: 0.8331 0.1669 0.5000

Calculated values
Fermi-level density of states, states/eV/f.u.: 13.5
Calculated formation energy, eV/atom: 0.02



8.
The following is a PBE-GGA calculation of an optimized crystal structure of ErMgAgRu, from the Alexandria database.

a b c (Å): 4.7509 4.7509 4.7509
angles (deg): 60.00 60.00 60.00
Atoms (fractional coordinates):
Er: 0.5000 0.5000 0.5000
Ru: 0.7500 0.7500 0.7500
Mg: 0.0000 0.0000 0.0000
Ag: 0.2500 0.2500 0.2500

Calculated values
Fermi-level density of states, states/eV/f.u.: 1.5
Calculated formation energy, eV/atom: -0.20



9.
The following is a PBE-GGA calculation of an optimized crystal structure of TiAlAg, from the Alexandria database.

a b c (Å): 7.2343 2.8937 4.9570
angles (deg): 90.00 103.07 90.00
Atoms (fractional coordinates):
Ti: 0.5680 0.2707 0.9462
Al: 0.2493 0.7708 0.0077
Ti: 0.2783 0.2708 0.5074
Al: 0.5970 0.7707 0.4460
Ag: 0.9232 0.2705 0.7271
Ag: 0.9231 0.7706 0.2271

Calculated values
Fermi-level density of states, states/eV/f.u.: 2.1
Calculated formation energy, eV/atom: -0.16



10.
The following is a PBE-GGA calculation of an optimized crystal structure of Sm3Dy2Er2, from the Alexandria database.

a b c (Å): 3.5666 11.8235 6.1784
angles (deg): 69.78 73.16 98.63
Atoms (fractional coordinates):
Er: 0.2872 0.7153 0.1408
Er: 0.7128 0.2847 0.8592
Sm: 0.4290 0.5715 0.7135
Dy: 0.8564 0.1420 0.4286
Sm: 0.5710 0.4285 0.2865
Sm: 0.0000 0.0000 0.0000
Dy: 0.1436 0.8580 0.5714

Calculated values
Fermi-level density of states, states/eV/f.u.: 8.6
Energy relative to the lowest polymorph listed for this composition, eV per atom: 0.000
Calculated formation energy, eV/atom: 0.02



11.
The following is a PBE-GGA calculation of an optimized crystal structure of AlNiTeN2, from the Alexandria database.

a b c (Å): 3.6319 3.6319 6.6064
angles (deg): 90.00 90.00 90.00
Atoms (fractional coordinates):
Al: 0.0000 0.0000 0.0000
N: 0.5000 0.0000 0.0000
Ni: 0.5000 0.5000 0.5000
N: 0.0000 0.5000 0.0000
Te: 0.0000 0.0000 0.5000

Calculated values
Raw formation energy, eV per atom: 0.8663
Fermi-level density of states, states/eV/f.u.: 6.6
Energy relative to the lowest polymorph listed for this composition, eV per atom: 0.000



12.
The following is a PBE-GGA calculation of an optimized crystal structure of RbCaIrO6, from the Alexandria database.

a b c (Å): 5.7471 5.7471 6.0154
angles (deg): 90.00 90.00 59.99
Atoms (fractional coordinates):
O: 0.5872 0.3546 0.6798
Ca: 0.6666 0.6667 0.5000
Rb: 0.0000 0.0000 0.0000
O: 0.3545 0.0582 0.6798
O: 0.0582 0.3545 0.3202
O: 0.3546 0.5873 0.3202
O: 0.0581 0.5874 0.6797
Ir: 0.3333 0.3333 0.5000
O: 0.5873 0.0581 0.3202

Calculated values
Raw formation energy, eV per atom: -1.1348



no.,calculated total energy (eV per cell),calculated volume (Å³ per cell)
1,-24.6,103.8
2,-11.0,267.8
3,-16.6,67.8
4,-76.7,141.6
5,-48.0,211.6
6,-48.5,332.6
7,-55.6,390.1
8,-19.1,75.8
9,-29.9,101.1
10,-32.4,224.7
11,-25.0,87.1
12,-51.8,172.1